Record 1
Crystalline Al2Cu3Ni at its relaxed geometry, computed with PBE. Values from VASP.

Values from the calculation:
Offset from the most stable computed form   241.7 meV/atom
Space group   P6/mmm, No. 191
Energy of formation   -2.7 kJ per mole of atoms

The structure in Quantum ESPRESSO input format:
```
&SYSTEM
  ibrav = 0, nat = 6, ntyp = 3
/
ATOMIC_SPECIES
Cu 63.55 Cu.upf
Ni 58.69 Ni.upf
Al 26.98 Al.upf
ATOMIC_POSITIONS crystal
Cu 0.0000 0.5000 0.5000
Ni 0.0000 0.0000 0.0000
Al 0.6667 0.3333 0.0000
Cu 0.5000 0.0000 0.5000
Cu 0.5000 0.5000 0.5000
Al 0.3333 0.6667 0.0000
CELL_PARAMETERS angstrom
-0.2548 2.9126 3.7792
-3.9979 -1.4031 -2.2088
-0.2403 -3.3303 2.5505
```


Record 2
Crystalline Al2Cu2Ni at its relaxed geometry, computed with PBE. Values from VASP.

Values from the calculation:
Offset from the most stable computed form   200.3 meV/atom
Space group   P-3m1, No. 164
Energy of formation   -12.3 kJ per mole of atoms

The structure in Quantum ESPRESSO input format:
```
&SYSTEM
  ibrav = 0, nat = 5, ntyp = 3
/
ATOMIC_SPECIES
Al 26.98 Al.upf
Cu 63.55 Cu.upf
Ni 58.69 Ni.upf
ATOMIC_POSITIONS crystal
Al 0.3333 0.6667 0.1583
Al 0.6667 0.3333 0.8417
Cu 0.3333 0.6667 0.6477
Ni 0.0000 0.0000 0.0000
Cu 0.6667 0.3333 0.3523
CELL_PARAMETERS angstrom
2.0116 -3.4843 0.0000
2.0116 3.4843 0.0000
0.0000 0.0000 5.0355
```


Record 3
Crystalline Al2CuNi4 at its relaxed geometry, computed with PBE. Values from VASP.

Values from the calculation:
Offset from the most stable computed form   308.0 meV/atom
Space group   P3m1, No. 156
Energy of formation   -7.7 kJ per mole of atoms

The structure in Quantum ESPRESSO input format:
```
&SYSTEM
  ibrav = 0, nat = 7, ntyp = 3
/
ATOMIC_SPECIES
Ni 58.69 Ni.upf
Al 26.98 Al.upf
Cu 63.55 Cu.upf
ATOMIC_POSITIONS crystal
Ni 0.6667 0.3333 0.4698
Al 0.6667 0.3333 0.1242
Ni 0.0000 0.0000 0.2828
Cu 0.0000 0.0000 0.6283
Al 0.3333 0.6667 0.4126
Ni 0.6667 0.3333 0.7970
Ni 0.0000 0.0000 0.9534
CELL_PARAMETERS angstrom
1.9382 -3.3571 0.0000
1.9382 3.3571 0.0000
0.0000 0.0000 7.3151
```


Record 4
Crystalline Al2CuNi at its relaxed geometry, computed with PBE. Values from VASP.

Values from the calculation:
Space group   P-6m2, No. 187
Energy of formation   -29.5 kJ per mole of atoms

The structure in Quantum ESPRESSO input format:
```
&SYSTEM
  ibrav = 0, nat = 4, ntyp = 3
/
ATOMIC_SPECIES
Ni 58.69 Ni.upf
Al 26.98 Al.upf
Cu 63.55 Cu.upf
ATOMIC_POSITIONS crystal
Ni 0.0000 0.0000 0.5000
Al 0.3333 0.6667 0.2609
Al 0.3333 0.6667 0.7391
Cu 0.0000 0.0000 0.0000
CELL_PARAMETERS angstrom
-0.0415 2.7465 -0.3777
-2.2189 -1.5243 -0.6639
-2.8436 0.9607 7.2985
```


Record 5
Crystalline AlCu3Ni3 at its relaxed geometry, computed with PBE. Values from VASP.

Values from the calculation:
Offset from the most stable computed form   203.8 meV/atom
Space group   Pmmn, No. 59
Energy of formation   0.6 kJ per mole of atoms

The structure in Quantum ESPRESSO input format:
```
&SYSTEM
  ibrav = 0, nat = 14, ntyp = 3
/
ATOMIC_SPECIES
Ni 58.69 Ni.upf
Cu 63.55 Cu.upf
Al 26.98 Al.upf
ATOMIC_POSITIONS crystal
Ni 0.7500 0.0082 0.1691
Ni 0.2500 0.9918 0.8309
Cu 0.7500 0.7500 0.9492
Cu 0.2500 0.0010 0.5736
Cu 0.2500 0.2500 0.0508
Cu 0.7500 0.9990 0.4264
Ni 0.7500 0.7500 0.6884
Cu 0.7500 0.5010 0.4264
Ni 0.2500 0.2500 0.3116
Ni 0.7500 0.4918 0.1691
Ni 0.2500 0.5082 0.8309
Cu 0.2500 0.4990 0.5736
Al 0.7500 0.2500 0.7367
Al 0.2500 0.7500 0.2633
CELL_PARAMETERS angstrom
-1.9889 -2.8136 1.6870
2.1985 1.0065 4.2705
-6.7622 6.0173 2.0631
```


Record 6
Crystalline Al3CuNi5 at its relaxed geometry, computed with PBE. Values from VASP.

Values from the calculation:
Offset from the most stable computed form   306.7 meV/atom
Space group   I4/mcm, No. 140
Energy of formation   -8.0 kJ per mole of atoms

The structure in Quantum ESPRESSO input format:
```
&SYSTEM
  ibrav = 0, nat = 18, ntyp = 3
/
ATOMIC_SPECIES
Cu 63.55 Cu.upf
Ni 58.69 Ni.upf
Al 26.98 Al.upf
ATOMIC_POSITIONS crystal
Cu 0.7500 0.2500 0.5000
Ni 0.0645 0.5645 0.7332
Ni 0.5645 0.6686 0.7332
Ni 0.4355 0.3314 0.2668
Al 0.6226 0.1226 0.0000
Al 0.2500 0.2500 0.5000
Al 0.8774 0.6226 0.0000
Al 0.3774 0.8774 0.0000
Ni 0.9355 0.4355 0.2668
Ni 0.3314 0.8314 0.2668
Ni 0.6686 0.1686 0.7332
Al 0.7500 0.7500 0.5000
Ni 0.5000 0.5000 0.0000
Ni 0.0000 0.0000 0.0000
Ni 0.1686 0.0645 0.7332
Ni 0.8314 0.9355 0.2668
Cu 0.2500 0.7500 0.5000
Al 0.1226 0.3774 0.0000
CELL_PARAMETERS angstrom
6.6911 0.0000 0.0000
0.0000 6.6911 0.0000
-3.3456 -3.3456 5.1520
```


Record 7
Crystalline Al4CuNi2 at its relaxed geometry, computed with PBE. Values from VASP.

Values from the calculation:
Offset from the most stable computed form   52.8 meV/atom
Space group   P2_1/m, No. 11
Energy of formation   -39.9 kJ per mole of atoms

The structure in Quantum ESPRESSO input format:
```
&SYSTEM
  ibrav = 0, nat = 14, ntyp = 3
/
ATOMIC_SPECIES
Ni 58.69 Ni.upf
Cu 63.55 Cu.upf
Al 26.98 Al.upf
ATOMIC_POSITIONS crystal
Ni 0.7500 0.1960 0.1748
Cu 0.7500 0.7676 0.4356
Al 0.7500 0.8689 0.0345
Ni 0.2500 0.7127 0.2417
Al 0.2500 0.1311 0.9655
Ni 0.2500 0.8040 0.8252
Al 0.7500 0.4555 0.3649
Ni 0.7500 0.2873 0.7583
Al 0.2500 0.5445 0.6351
Al 0.7500 0.0154 0.6124
Al 0.7500 0.5717 0.8660
Cu 0.2500 0.2324 0.5644
Al 0.2500 0.4283 0.1340
Al 0.2500 0.9846 0.3876
CELL_PARAMETERS angstrom
4.1540 0.0000 0.0000
0.0000 7.0169 0.0275
0.0000 3.4554 6.3125
```


Record 8
Crystalline Al2Cu2Ni at its relaxed geometry, computed with PBE. Values from VASP.

Values from the calculation:
Offset from the most stable computed form   69.9 meV/atom
Space group   Cmmm, No. 65
Energy of formation   -24.9 kJ per mole of atoms

The structure in Quantum ESPRESSO input format:
```
&SYSTEM
  ibrav = 0, nat = 5, ntyp = 3
/
ATOMIC_SPECIES
Cu 63.55 Cu.upf
Al 26.98 Al.upf
Ni 58.69 Ni.upf
ATOMIC_POSITIONS crystal
Cu 0.0000 0.1892 0.6216
Al 0.5000 0.5907 0.8185
Cu 0.0000 0.8108 0.3784
Al 0.5000 0.4093 0.1815
Ni 0.0000 0.0000 0.0000
CELL_PARAMETERS angstrom
2.7146 0.0000 0.0000
0.0000 2.6940 0.5104
0.0000 -0.2861 8.8745
```


Record 9
Crystalline AlCuNi2 at its relaxed geometry, computed with PBE. Values from VASP.

Values from the calculation:
Space group   Cmcm, No. 63
Energy of formation   -15.3 kJ per mole of atoms

The structure in Quantum ESPRESSO input format:
```
&SYSTEM
  ibrav = 0, nat = 8, ntyp = 3
/
ATOMIC_SPECIES
Cu 63.55 Cu.upf
Ni 58.69 Ni.upf
Al 26.98 Al.upf
ATOMIC_POSITIONS crystal
Cu 0.6308 0.3692 0.2500
Ni 0.8692 0.1308 0.4953
Ni 0.8692 0.1308 0.0047
Ni 0.1308 0.8692 0.9953
Al 0.3552 0.6448 0.2500
Al 0.6448 0.3552 0.7500
Cu 0.3692 0.6308 0.7500
Ni 0.1308 0.8692 0.5047
CELL_PARAMETERS angstrom
2.0706 -4.5216 0.0000
2.0706 4.5216 0.0000
0.0000 0.0000 5.2582
```


Record 10
Crystalline Al3CuNi12 at its relaxed geometry, computed with PBE. Values from VASP.

Values from the calculation:
Space group   P4/mmm, No. 123
Energy of formation   -29.8 kJ per mole of atoms

The structure in Quantum ESPRESSO input format:
```
&SYSTEM
  ibrav = 0, nat = 16, ntyp = 3
/
ATOMIC_SPECIES
Ni 58.69 Ni.upf
Al 26.98 Al.upf
Cu 63.55 Cu.upf
ATOMIC_POSITIONS crystal
Ni 0.0000 0.5000 0.8758
Al 0.0000 0.0000 0.2496
Ni 0.0000 0.5000 0.3746
Al 0.0000 0.0000 0.5000
Ni 0.5000 0.0000 0.3746
Cu 0.0000 0.0000 0.0000
Ni 0.5000 0.5000 0.0000
Ni 0.0000 0.5000 0.1242
Ni 0.5000 0.0000 0.6254
Al 0.0000 0.0000 0.7504
Ni 0.5000 0.0000 0.1242
Ni 0.5000 0.5000 0.5000
Ni 0.5000 0.5000 0.2494
Ni 0.0000 0.5000 0.6254
Ni 0.5000 0.0000 0.8758
Ni 0.5000 0.5000 0.7506
CELL_PARAMETERS angstrom
3.5616 0.0000 0.0000
0.0000 3.5616 0.0000
0.0000 0.0000 14.2071
```


Record 11
Crystalline Al5CuNi at its relaxed geometry, computed with PBE. Values from VASP.

Values from the calculation:
Offset from the most stable computed form   62.5 meV/atom
Space group   P4/mmm, No. 123
Energy of formation   -12.8 kJ per mole of atoms

The structure in Quantum ESPRESSO input format:
```
&SYSTEM
  ibrav = 0, nat = 7, ntyp = 3
/
ATOMIC_SPECIES
Al 26.98 Al.upf
Cu 63.55 Cu.upf
Ni 58.69 Ni.upf
ATOMIC_POSITIONS crystal
Al 0.5000 0.5000 0.0000
Cu 0.0000 0.0000 0.5000
Al 0.5000 0.0000 0.7246
Al 0.0000 0.5000 0.7246
Ni 0.0000 0.0000 0.0000
Al 0.5000 0.0000 0.2754
Al 0.0000 0.5000 0.2754
CELL_PARAMETERS angstrom
4.0471 0.0000 0.0000
0.0000 4.0471 0.0000
0.0000 0.0000 6.4266
```


Record 12
Crystalline Al4CuNi2 at its relaxed geometry, computed with PBE. Values from VASP.

Values from the calculation:
Offset from the most stable computed form   645.4 meV/atom
Space group   P3m1, No. 156
Energy of formation   17.3 kJ per mole of atoms

The structure in Quantum ESPRESSO input format:
```
&SYSTEM
  ibrav = 0, nat = 7, ntyp = 3
/
ATOMIC_SPECIES
Ni 58.69 Ni.upf
Cu 63.55 Cu.upf
Al 26.98 Al.upf
ATOMIC_POSITIONS crystal
Ni 0.6667 0.3333 0.0493
Cu 0.0000 0.0000 0.7081
Ni 0.3333 0.6667 0.3734
Al 0.6667 0.3333 0.2813
Al 0.0000 0.0000 0.9761
Al 0.6667 0.3333 0.8105
Al 0.0000 0.0000 0.4692
CELL_PARAMETERS angstrom
1.9091 -3.3066 0.0000
1.9091 3.3066 0.0000
0.0000 0.0000 10.2188
```